1.
Ru4C: relaxed, PBE.

Output
**Size of the total moment**: 1.4 μB per formula unit
**D(E_F)**: 8.94 states/eV/f.u.
**Energy of formation**: 0.988 eV per atom
**Offset from the most stable computed form**: 0.588 eV per atom

Cell: 5.156 5.156 5.156 Å, 90.00 90.00 90.00°
Space group Im-3m (No. 229)
Inequivalent atoms, fractional coordinates:
Ru1 0.250 0.250 0.250 [8 per cell]
C1 0.000 0.000 0.000 [2 per cell]



2.
MgZrBiMo2: relaxed, PBE.

Output
**Size of the total moment**: 1.1 μB per formula unit
**D(E_F)**: 5.01 states/eV/f.u.
**Energy of formation**: 1.497 eV per atom

Cell: 4.847 4.847 5.412 Å, 90.00 90.00 90.00°
Space group P4/mmm (No. 123)
Inequivalent atoms, fractional coordinates:
Mg1 0.000 0.000 0.000 [1 per cell]
Zr1 0.000 0.000 0.500 [1 per cell]
Bi1 0.500 0.500 0.000 [1 per cell]
Mo1 0.000 0.500 0.500 [2 per cell]



3.
ScTa2Al: relaxed, PBE.

Output
**Size of the total moment**: 0.0 μB per formula unit
**D(E_F)**: 4.22 states/eV/f.u.
**Energy of formation**: -0.013 eV per atom

Cell: 2.863 2.863 9.069 Å, 90.00 90.00 90.00°
Space group P4/mmm (No. 123)
Inequivalent atoms, fractional coordinates:
Sc1 0.000 0.000 0.000 [1 per cell]
Ta1 0.500 0.500 0.274 [2 per cell]
Al1 0.000 0.000 0.500 [1 per cell]



4.
SrAlZn2: relaxed, PBE.

Output
**Size of the total moment**: 0.0 μB per formula unit
**D(E_F)**: 1.58 states/eV/f.u.
**Energy of formation**: -0.061 eV per atom

Cell: 3.927 4.541 5.534 Å, 90.00 90.09 90.00°
Space group P2/m (No. 10)
Inequivalent atoms, fractional coordinates:
Sr1 0.000 0.000 0.000 [1 per cell]
Al1 0.500 0.000 0.500 [1 per cell]
Zn1 0.499 0.500 0.743 [2 per cell]



5.
ZrBeOs2: relaxed, PBE.

Output
**Size of the total moment**: 0.0 μB per formula unit
**D(E_F)**: 2.04 states/eV/f.u.
**Energy of formation**: 0.076 eV per atom

Cell: 3.194 4.652 7.833 Å, 90.00 90.00 90.00°
Space group Cmmm (No. 65)
Inequivalent atoms, fractional coordinates:
Zr1 0.000 0.000 0.000 [2 per cell]
Be1 0.000 0.000 0.500 [2 per cell]
Os1 0.000 0.500 0.287 [4 per cell]



6.
Li3Pm2ThSe6: relaxed, PBE.

Output
**ΔE_f (raw)**: -1612.4 meV/atom
**Size of the total moment**: 0.0 μB per formula unit
**D(E_F)**: 3.86 states/eV/f.u.

Cell: 7.182 12.442 6.981 Å, 90.00 110.06 90.00°
Space group C2/m (No. 12)
Inequivalent atoms, fractional coordinates:
Li1 0.000 0.000 0.000 [2 per cell]
Li2 0.000 0.332 0.000 [4 per cell]
Pm1 0.000 0.167 0.500 [4 per cell]
Th1 0.000 0.500 0.500 [2 per cell]
Se1 0.243 0.500 0.238 [4 per cell]
Se2 0.247 0.165 0.237 [8 per cell]



7.
KRb3Mo: relaxed, PBE.

Output
**Size of the total moment**: 5.0 μB per formula unit
**D(E_F)**: 5.49 states/eV/f.u.
**Energy of formation**: 1.315 eV per atom
**Offset from the most stable computed form**: 0.313 eV per atom

Cell: 7.630 7.630 7.630 Å, 90.00 90.00 90.00°
Space group Pm-3m (No. 221)
Inequivalent atoms, fractional coordinates:
K1 0.000 0.000 0.000 [1 per cell]
Rb1 0.000 0.000 0.500 [3 per cell]
Mo1 0.500 0.500 0.500 [1 per cell]



8.
PmThTlHg: relaxed, PBE.

Output
**Size of the total moment**: 0.0 μB per formula unit
**D(E_F)**: 4.51 states/eV/f.u.
**Energy of formation**: -0.299 eV per atom
**Offset from the most stable computed form**: 0.000 eV per atom

Cell: 3.579 3.579 8.825 Å, 90.00 90.00 90.00°
Space group P4mm (No. 99)
Inequivalent atoms, fractional coordinates:
Pm1 0.000 0.000 0.000 [1 per cell]
Th1 0.000 0.000 0.512 [1 per cell]
Tl1 0.500 0.500 0.250 [1 per cell]
Hg1 0.500 0.500 0.761 [1 per cell]